[1]
Material: Sr2AlAsRh
Method: DFT, meta-GGA SCAN
State: PBEsol geometry

Cell and atoms, written as POSCAR:
```
Sr2AlAsRh
1.0
4.4930 0.0000 0.0000
0.0000 5.8236 0.0000
0.0000 0.0000 5.8236
Rh Sr Al As
1 2 1 1
Cartesian
2.2465 0.0000 0.0000 Rh
0.0000 2.9118 0.0000 Sr
0.0000 0.0000 2.9118 Sr
2.2465 2.9118 2.9118 Al
0.0000 0.0000 0.0000 As
```

Calculated values
The density of states at the Fermi level comes out at 3.23 states/eV/f.u. The space group is P4/mmm, No. 123. For the calculated formation energy, the calculation gives -0.210 eV per atom.

[2]
Material: AlAsRu2
Method: DFT, meta-GGA SCAN
State: PBEsol geometry

Cell and atoms, written as POSCAR:
```
AlAsRu2
1.0
3.0185 0.0000 0.0000
0.0000 4.2071 0.0000
0.0000 0.0000 4.2071
Ru Al As
2 1 1
Cartesian
0.0000 2.1035 0.0000 Ru
0.0000 0.0000 2.1035 Ru
1.5092 2.1035 2.1035 Al
1.5092 0.0000 0.0000 As
```

Calculated values
The density of states at the Fermi level comes out at 0.95 states/eV/f.u. The space group is P4/mmm, No. 123. For the calculated formation energy, the calculation gives -0.542 eV per atom.

> Which of these has the lowest calculated formation energy?

AlAsRu2

> calculated formation energy of number 1 (Sr2AlAsRh)?

-0.210 eV per atom

What did the second record say?
Material: AlAsRu2
Method: DFT, meta-GGA SCAN
State: PBEsol geometry

Cell and atoms, written as POSCAR:
```
AlAsRu2
1.0
3.0185 0.0000 0.0000
0.0000 4.2071 0.0000
0.0000 0.0000 4.2071
Ru Al As
2 1 1
Cartesian
0.0000 2.1035 0.0000 Ru
0.0000 0.0000 2.1035 Ru
1.5092 2.1035 2.1035 Al
1.5092 0.0000 0.0000 As
```

Calculated values
The density of states at the Fermi level comes out at 0.95 states/eV/f.u. The space group is P4/mmm, No. 123. For the calculated formation energy, the calculation gives -0.542 eV per atom.

> Which of these has the lowest calculated formation energy?

AlAsRu2